No. 1
A plane-wave DFT calculation with PBE was carried out for an optimized crystal structure of Pu2Sc2Ru3.

Output
The total magnetization comes out at 2.5 μB/f.u. As for the formation energy: -0.103 eV/atom. The value obtained for the density is 11.316 g/cm³. Its uncorrected energy is -9.982 eV/atom.

Unit cell a=9.5877 b=4.6903 c=6.5672 alpha=90.00 beta=118.88 gamma=90.00
Space group C2/m (No. 12)
Unique sites:
Pu1 0.0927 0.0000 0.4387 [4 per cell]
Sc1 0.1620 0.5000 0.8074 [4 per cell]
Ru1 0.0000 0.0000 0.0000 [2 per cell]
Ru2 0.1478 0.5000 0.2272 [4 per cell]

***

No. 2
A plane-wave DFT calculation with PBE was carried out for an optimized crystal structure of La4Nd3Tl.

Output
The total magnetization comes out at 0.0 μB/f.u. As for the formation energy: -0.087 eV/atom. The value obtained for the density is 7.278 g/cm³. Its uncorrected energy is -4.634 eV/atom.

Unit cell a=11.7096 b=7.3207 c=6.3494 alpha=90.00 beta=90.00 gamma=90.00
Space group Pmn2_1 (No. 31)
Unique sites:
La1 0.0000 0.1143 0.0000 [2 per cell]
La2 0.0000 0.8701 0.5637 [2 per cell]
La3 0.2261 0.8625 0.1943 [4 per cell]
Nd1 0.0000 0.3757 0.5343 [2 per cell]
Nd2 0.2429 0.3835 0.2049 [4 per cell]
Tl1 0.0000 0.6031 0.0261 [2 per cell]

***

No. 3
A plane-wave DFT calculation with PBE was carried out for an optimized crystal structure of LiPt2Cl.

Output
The uncorrected formation energy is -0.20 eV/atom. The total magnetization comes out at 0.0 μB/f.u. The value obtained for the density is 9.223 g/cm³. Its uncorrected energy is -4.160 eV/atom.

Unit cell a=8.8486 b=2.8043 c=6.2942 alpha=90.00 beta=94.22 gamma=90.00
Space group Cm (No. 8)
Unique sites:
Li1 0.0000 0.0000 0.0000 [2 per cell]
Pt1 0.0462 0.5000 0.6045 [2 per cell]
Pt2 0.2890 0.0000 0.7306 [2 per cell]
Cl1 0.1494 0.5000 0.2336 [2 per cell]

***

No. 4
A plane-wave DFT calculation with PBE was carried out for an optimized crystal structure of BaZrTe2.

Output
The uncorrected formation energy is -0.98 eV/atom. The total magnetization comes out at 0.0 μB/f.u. The value obtained for the density is 6.919 g/cm³. Its uncorrected energy is -5.169 eV/atom.

Unit cell a=3.7836 b=3.7836 c=8.1097 alpha=90.00 beta=90.00 gamma=90.00
Space group P4/mmm (No. 123)
Unique sites:
Ba1 0.0000 0.0000 0.0000 [1 per cell]
Zr1 0.0000 0.0000 0.5000 [1 per cell]
Te1 0.5000 0.5000 0.2931 [2 per cell]

***

No. 5
A plane-wave DFT calculation with PBE was carried out for an optimized crystal structure of BeVBr2.

Output
The uncorrected formation energy is 0.26 eV/atom. The total magnetization comes out at 3.5 μB/f.u. The value obtained for the density is 4.495 g/cm³. Its uncorrected energy is -3.787 eV/atom.

Unit cell a=3.4187 b=3.4187 c=24.0622 alpha=90.00 beta=90.00 gamma=120.00
Space group R-3m (No. 166, hexagonal axes)
Unique sites:
Be1 0.0000 0.0000 0.0000 [3 per cell]
V1 0.0000 0.0000 0.5000 [3 per cell]
Br1 0.0000 0.0000 0.3910 [6 per cell]

***

No. 6
A plane-wave DFT calculation with PBE was carried out for an optimized crystal structure of La2Sm2DyHg5.

Output
The total magnetization comes out at 0.0 μB/f.u. As for the formation energy: -0.339 eV/atom. The value obtained for the density is 9.813 g/cm³. Its uncorrected energy is -2.880 eV/atom.

Unit cell a=12.1303 b=12.1303 c=4.0113 alpha=90.00 beta=90.00 gamma=90.00
Space group P4/mbm (No. 127)
Unique sites:
La1 0.1657 0.3343 0.0000 [4 per cell]
Sm1 0.1380 0.6380 0.0000 [4 per cell]
Dy1 0.0000 0.0000 0.0000 [2 per cell]
Hg1 0.0000 0.5000 0.5000 [2 per cell]
Hg2 0.1073 0.8375 0.5000 [8 per cell]